# 1
DFT (GGA-PBE) results for a geometry-optimized Mg3H2Ir5 structure.

Energy above the lowest structure with this stoichiometry ... 0.000 eV per atom
ρ ... 13.45 g/cm³

```
data_Mg3H2Ir5
_chemical_formula_sum 'Mg6 H4 Ir10'
_space_group_name_H-M_alt 'C 1 m 1'
_space_group_IT_number 8
_space_group_name_Hall 'C -2y'
_cell_length_a 9.666
_cell_length_b 5.781
_cell_length_c 4.799
_cell_angle_alpha 90.00
_cell_angle_beta 107.49
_cell_angle_gamma 90.00
loop_
_atom_site_label
_atom_site_fract_x
_atom_site_fract_y
_atom_site_fract_z
Mg1 0.000 0.000 0.000
Mg2 0.002 0.500 0.031
Mg3 0.256 0.000 0.509
H1 0.189 0.000 0.873
H2 0.414 0.500 0.374
Ir1 0.006 0.261 0.522
Ir2 0.247 0.500 0.524
Ir3 0.254 0.269 0.025
```

---

# 2
DFT (GGA-PBE) results for a geometry-optimized MgH3Ir structure.

ρ ... 8.37 g/cm³
Electronic total energy ... -4.3349 eV per atom

```
data_MgH3Ir
_chemical_formula_sum 'Mg2 H6 Ir2'
_space_group_name_H-M_alt 'P 1 m 1'
_space_group_IT_number 6
_space_group_name_Hall 'P -2y'
_cell_length_a 3.483
_cell_length_b 4.589
_cell_length_c 5.722
_cell_angle_alpha 90.00
_cell_angle_beta 107.64
_cell_angle_gamma 90.00
loop_
_atom_site_label
_atom_site_fract_x
_atom_site_fract_y
_atom_site_fract_z
Mg1 0.000 0.000 0.000
Mg2 0.258 0.500 0.518
H1 0.034 0.500 0.069
H2 0.225 0.000 0.453
H3 0.440 0.262 0.878
H4 0.819 0.238 0.642
Ir1 0.552 0.500 0.105
Ir2 0.706 0.000 0.415
```

---

# 3
DFT (GGA-PBE) results for a geometry-optimized Mg4H3Ir structure.

Energy above the lowest structure with this stoichiometry ... 0.042 eV per atom
ρ ... 4.43 g/cm³

```
data_Mg4H3Ir
_chemical_formula_sum 'Mg8 H6 Ir2'
_space_group_name_H-M_alt 'C 1 2 1'
_space_group_IT_number 5
_space_group_name_Hall 'C 2y'
_cell_length_a 8.186
_cell_length_b 5.834
_cell_length_c 5.397
_cell_angle_alpha 90.00
_cell_angle_beta 121.72
_cell_angle_gamma 90.00
loop_
_atom_site_label
_atom_site_fract_x
_atom_site_fract_y
_atom_site_fract_z
Mg1 0.131 0.000 0.366
Mg2 0.199 0.339 0.999
H1 0.000 0.321 0.500
H2 0.090 0.619 0.277
Ir1 0.000 0.613 0.500
```

---

# 4
DFT (GGA-PBE) results for a geometry-optimized Mg2H2Ir3 structure.

Energy above the lowest structure with this stoichiometry ... 0.022 eV per atom
ρ ... 11.74 g/cm³

```
data_Mg2H2Ir3
_chemical_formula_sum 'Mg4 H4 Ir6'
_space_group_name_H-M_alt 'C 1 m 1'
_space_group_IT_number 8
_space_group_name_Hall 'C -2y'
_cell_length_a 10.008
_cell_length_b 2.842
_cell_length_c 7.966
_cell_angle_alpha 90.00
_cell_angle_beta 128.43
_cell_angle_gamma 90.00
loop_
_atom_site_label
_atom_site_fract_x
_atom_site_fract_y
_atom_site_fract_z
Mg1 0.000 0.000 0.000
Mg2 0.062 0.500 0.679
H1 0.280 0.000 0.841
H2 0.329 0.500 0.145
Ir1 0.270 0.000 0.623
Ir2 0.274 0.500 0.328
Ir3 0.487 0.000 0.295
```

---

# 5
DFT (GGA-PBE) results for a geometry-optimized MgH4Ir2 structure.

Energy above the lowest structure with this stoichiometry ... 0.000 eV per atom
ρ ... 10.27 g/cm³

```
data_MgH4Ir2
_chemical_formula_sum 'Mg4 H16 Ir8'
_space_group_name_H-M_alt 'F m m m'
_space_group_IT_number 69
_space_group_name_Hall '-F 2 2'
_cell_length_a 5.461
_cell_length_b 5.697
_cell_length_c 8.577
_cell_angle_alpha 90.00
_cell_angle_beta 90.00
_cell_angle_gamma 90.00
loop_
_atom_site_label
_atom_site_fract_x
_atom_site_fract_y
_atom_site_fract_z
Mg1 0.000 0.000 0.000
H1 0.000 0.182 0.371
Ir1 0.250 0.250 0.250
```

---

# 6
DFT (GGA-PBE) results for a geometry-optimized Mg4H3Ir2 structure.

Energy above the lowest structure with this stoichiometry ... 0.029 eV per atom
ρ ... 6.35 g/cm³

```
data_Mg4H3Ir2
_chemical_formula_sum 'Mg4 H3 Ir2'
_space_group_name_H-M_alt 'P 1'
_space_group_IT_number 1
_space_group_name_Hall 'P 1'
_cell_length_a 4.315
_cell_length_b 5.166
_cell_length_c 6.723
_cell_angle_alpha 72.47
_cell_angle_beta 71.31
_cell_angle_gamma 65.53
loop_
_atom_site_label
_atom_site_fract_x
_atom_site_fract_y
_atom_site_fract_z
Mg1 0.000 0.000 0.000
Mg2 0.195 0.106 0.503
Mg3 0.603 0.485 0.308
Mg4 0.801 0.611 0.788
H1 0.053 0.640 0.253
H2 0.463 0.058 0.020
H3 0.731 0.007 0.530
Ir1 0.256 0.406 0.082
Ir2 0.536 0.202 0.726
```

---

# 7
DFT (GGA-PBE) results for a geometry-optimized Mg2H6Ir structure.

ρ ... 5.45 g/cm³
Electronic total energy ... -3.8214 eV per atom

```
data_Mg2H6Ir
_chemical_formula_sum 'Mg2 H6 Ir1'
_space_group_name_H-M_alt 'P 1 m 1'
_space_group_IT_number 6
_space_group_name_Hall 'P -2y'
_cell_length_a 4.547
_cell_length_b 3.635
_cell_length_c 4.549
_cell_angle_alpha 90.00
_cell_angle_beta 90.04
_cell_angle_gamma 90.00
loop_
_atom_site_label
_atom_site_fract_x
_atom_site_fract_y
_atom_site_fract_z
Mg1 0.000 0.000 0.000
Mg2 0.496 0.000 0.493
H1 0.006 0.000 0.485
H2 0.221 0.500 0.226
H3 0.266 0.500 0.709
H4 0.501 0.000 0.991
H5 0.737 0.500 0.273
H6 0.785 0.500 0.755
Ir1 0.502 0.500 0.990
```

---

# 8
DFT (GGA-PBE) results for a geometry-optimized MgH5Ir structure.

Energy above the lowest structure with this stoichiometry ... 0.108 eV per atom
ρ ... 6.27 g/cm³

```
data_MgH5Ir
_chemical_formula_sum 'Mg2 H10 Ir2'
_space_group_name_H-M_alt 'C 1 2 1'
_space_group_IT_number 5
_space_group_name_Hall 'C 2y'
_cell_length_a 6.028
_cell_length_b 4.758
_cell_length_c 4.890
_cell_angle_alpha 90.00
_cell_angle_beta 123.18
_cell_angle_gamma 90.00
loop_
_atom_site_label
_atom_site_fract_x
_atom_site_fract_y
_atom_site_fract_z
Mg1 0.000 0.000 0.000
H1 0.000 0.033 0.500
H2 0.165 0.676 0.907
H3 0.192 0.430 0.478
Ir1 0.000 0.690 0.500
```

---

Repeat the third record exactly.
DFT (GGA-PBE) results for a geometry-optimized Mg4H3Ir structure.

Energy above the lowest structure with this stoichiometry ... 0.042 eV per atom
ρ ... 4.43 g/cm³

```
data_Mg4H3Ir
_chemical_formula_sum 'Mg8 H6 Ir2'
_space_group_name_H-M_alt 'C 1 2 1'
_space_group_IT_number 5
_space_group_name_Hall 'C 2y'
_cell_length_a 8.186
_cell_length_b 5.834
_cell_length_c 5.397
_cell_angle_alpha 90.00
_cell_angle_beta 121.72
_cell_angle_gamma 90.00
loop_
_atom_site_label
_atom_site_fract_x
_atom_site_fract_y
_atom_site_fract_z
Mg1 0.131 0.000 0.366
Mg2 0.199 0.339 0.999
H1 0.000 0.321 0.500
H2 0.090 0.619 0.277
Ir1 0.000 0.613 0.500
```

---

> Number 2 is which compound?

MgH3Ir